[1]
VASP calculation (GGA-PBE) on a geometry-optimized Er2ScGe3 structure.

The energy of formation from the pure elements comes out at -0.656 eV/atom. The value obtained for the total moment is 0.000 μB/cell. The calculation puts the total DFT energy (no corrections) at -33.2 eV/f.u. The calculation puts the density at 7.2 Mg/m³.

It has space group Immm (No. 71), with a = 4.6223 Å, b = 5.7330 Å, c = 10.3567 Å, α = 90.00°, β = 90.00° and γ = 90.00°. The asymmetric unit holds Er at (0.0000, 0.0000, 0.1744), Sc at (0.0000, 0.0000, 0.5000), Ge at (0.0000, 0.5000, 0.1419) and Ge at (0.0000, 0.5000, 0.5000).

[2]
VASP calculation (GGA-PBE) on a geometry-optimized ErScGeSe structure.

The calculation puts the raw formation energy at -5.2 eV per formula unit. The value obtained for the total moment is 0.000 μB/cell. The calculation puts the total DFT energy (no corrections) at -24.2 eV/f.u. The calculation puts the density at 6.7 Mg/m³.

It has space group R3m (No. 160, hexagonal axes), with a = 3.9888 Å, b = 3.9888 Å, c = 19.7534 Å, α = 90.00°, β = 90.00° and γ = 120.00°. The asymmetric unit holds Er at (0.0000, 0.0000, 0.0000), Sc at (0.0000, 0.0000, 0.5087), Ge at (0.0000, 0.0000, 0.2498) and Se at (0.0000, 0.0000, 0.7576).

[3]
VASP calculation (GGA-PBE) on a geometry-optimized Er8GeSe6 structure.

The calculation puts the raw formation energy at -18.8 eV per formula unit. The value obtained for the total moment is 0.000 μB/cell. The calculation puts the total DFT energy (no corrections) at -80.8 eV/f.u. The calculation puts the density at 8.4 Mg/m³.

It has space group P-3 (No. 147), with a = 10.3447 Å, b = 10.3447 Å, c = 3.9963 Å, α = 90.00°, β = 90.00° and γ = 120.00°. The asymmetric unit holds Er at (0.0315, 0.3049, 0.2550), Er at (0.3333, 0.6667, 0.7476), Ge at (0.0000, 0.0000, 0.5000) and Se at (0.1294, 0.6495, 0.2498).

[4]
VASP calculation (GGA-PBE) on a geometry-optimized ErGeSe2 structure.

The calculation puts the raw formation energy at -3.4 eV per formula unit. The value obtained for the total moment is 0.000 μB/cell. The calculation puts the total DFT energy (no corrections) at -19.6 eV/f.u. The calculation puts the density at 6.8 Mg/m³.

It has space group R-3m (No. 166, hexagonal axes), with a = 4.2071 Å, b = 4.2071 Å, c = 18.9270 Å, α = 90.00°, β = 90.00° and γ = 120.00°. The asymmetric unit holds Er at (0.0000, 0.0000, 0.0000), Ge at (0.0000, 0.0000, 0.5000) and Se at (0.0000, 0.0000, 0.2487).